TcTeSe2 | GGA-PBE | optimized geometry

Geometry as CIF:
```
data_TcTeSe2
_space_group_name_H-M_alt 'P -1'
_space_group_IT_number 2
_cell_length_a 5.7068
_cell_length_b 6.2238
_cell_length_c 6.2799
_cell_angle_alpha 118.06
_cell_angle_beta 90.02
_cell_angle_gamma 90.44
loop_
_space_group_symop_operation_xyz
'x,y,z'
'-x,-y,-z'
loop_
_atom_site_label
_atom_site_type_symbol
_atom_site_fract_x
_atom_site_fract_y
_atom_site_fract_z
Tc1 Tc 0.0018 0.2450 0.1184
Te1 Te 0.1927 0.6874 0.4637
Se1 Se 0.1820 0.3348 0.7964
Se2 Se 0.3211 0.9983 0.1377
```

The value obtained for the density of states at the Fermi level is 0.246 states/eV/atom. The calculation puts the electronic total energy at -42.81 eV per cell. As for the crystal system: triclinic.

---

Ta5Te | GGA-PBE | optimized geometry

Geometry as CIF:
```
data_Ta5Te
_space_group_name_H-M_alt 'C 1 2/m 1'
_space_group_IT_number 12
_cell_length_a 10.1617
_cell_length_b 3.4546
_cell_length_c 6.8293
_cell_angle_alpha 90.00
_cell_angle_beta 109.20
_cell_angle_gamma 90.00
loop_
_space_group_symop_operation_xyz
'x,y,z'
'-x,-y,-z'
'-x,y,-z'
'x,-y,z'
'x+1/2,y+1/2,z'
'-x+1/2,-y+1/2,-z'
'-x+1/2,y+1/2,-z'
'x+1/2,-y+1/2,z'
loop_
_atom_site_label
_atom_site_type_symbol
_atom_site_fract_x
_atom_site_fract_y
_atom_site_fract_z
Ta1 Ta 0.0000 0.0000 0.0000
Ta2 Ta 0.1654 0.5000 0.8392
Ta3 Ta 0.1745 0.5000 0.3239
Te1 Te 0.0000 0.0000 0.5000
```

The value obtained for the density of states at the Fermi level is 0.950 states/eV/atom. The calculation puts the electronic total energy at -123.68 eV per cell. As for the crystal system: monoclinic.

---

Mg2CdSnIr | GGA-PBE | optimized geometry

Geometry as CIF:
```
data_Mg2CdSnIr
_space_group_name_H-M_alt 'P 4/m m m'
_space_group_IT_number 123
_space_group_name_Hall '-P 4 2'
_cell_length_a 5.0836
_cell_length_b 5.0836
_cell_length_c 5.0291
_cell_angle_alpha 90.00
_cell_angle_beta 90.00
_cell_angle_gamma 90.00
loop_
_atom_site_label
_atom_site_type_symbol
_atom_site_fract_x
_atom_site_fract_y
_atom_site_fract_z
Mg1 Mg 0.0000 0.5000 0.0000
Cd1 Cd 0.0000 0.0000 0.5000
Sn1 Sn 0.5000 0.5000 0.5000
Ir1 Ir 0.5000 0.5000 0.0000
```

The value obtained for the density of states at the Fermi level is 0.297 states/eV/atom. The calculation puts the calculated formation energy at -41 kJ/mol of formula units. As for the crystal system: tetragonal.

---

LaMnP2Cl | GGA-PBE | optimized geometry

Geometry as CIF:
```
data_LaMnP2Cl
_space_group_name_H-M_alt 'P 4/m m m'
_space_group_IT_number 123
_space_group_name_Hall '-P 4 2'
_cell_length_a 5.5600
_cell_length_b 5.5600
_cell_length_c 5.3617
_cell_angle_alpha 90.00
_cell_angle_beta 90.00
_cell_angle_gamma 90.00
loop_
_atom_site_label
_atom_site_type_symbol
_atom_site_fract_x
_atom_site_fract_y
_atom_site_fract_z
La1 La 0.0000 0.0000 0.0000
Mn1 Mn 0.5000 0.5000 0.5000
P1 P 0.0000 0.5000 0.0000
Cl1 Cl 0.0000 0.0000 0.5000
```

The value obtained for the density of states at the Fermi level is 1.085 states/eV/atom. The calculation puts the electronic total energy at -25.03 eV per cell. As for the crystal system: tetragonal.

---

CaNiMo2 | GGA-PBE | optimized geometry

Geometry as CIF:
```
data_CaNiMo2
_space_group_name_H-M_alt 'P 1 2/m 1'
_space_group_IT_number 10
_cell_length_a 2.8596
_cell_length_b 5.0486
_cell_length_c 4.8362
_cell_angle_alpha 90.00
_cell_angle_beta 95.18
_cell_angle_gamma 90.00
loop_
_space_group_symop_operation_xyz
'x,y,z'
'-x,-y,-z'
'-x,y,-z'
'x,-y,z'
loop_
_atom_site_label
_atom_site_type_symbol
_atom_site_fract_x
_atom_site_fract_y
_atom_site_fract_z
Ca1 Ca 0.0000 0.0000 0.0000
Ni1 Ni 0.5000 0.0000 0.5000
Mo1 Mo 0.3625 0.5000 0.7396
```

The value obtained for the density of states at the Fermi level is 1.036 states/eV/atom. The calculation puts the calculated formation energy at 223 kJ/mol of formula units. As for the crystal system: monoclinic.

---

Cs2FeH5 | GGA-PBE | optimized geometry

Geometry as CIF:
```
data_Cs2FeH5
_space_group_name_H-M_alt 'F m m 2'
_space_group_IT_number 42
_space_group_name_Hall 'F 2 -2'
_cell_length_a 8.9660
_cell_length_b 9.0038
_cell_length_c 8.6301
_cell_angle_alpha 90.00
_cell_angle_beta 90.00
_cell_angle_gamma 90.00
loop_
_atom_site_label
_atom_site_type_symbol
_atom_site_fract_x
_atom_site_fract_y
_atom_site_fract_z
Cs1 Cs 0.2500 0.2500 0.0000
Fe1 Fe 0.0000 0.0000 0.2863
H1 H 0.0000 0.0000 0.4818
H2 H 0.0000 0.1721 0.2364
H3 H 0.1727 0.0000 0.2358
```

The value obtained for the density of states at the Fermi level is 0.204 states/eV/atom. The calculation puts the electronic total energy at -108.11 eV per cell. As for the crystal system: orthorhombic.

---

PmDy2Y6Er3 | GGA-PBE | optimized geometry

Geometry as CIF:
```
data_PmDy2Y6Er3
_space_group_name_H-M_alt 'C 1 2/m 1'
_space_group_IT_number 12
_cell_length_a 6.1627
_cell_length_b 10.6620
_cell_length_c 11.7910
_cell_angle_alpha 90.00
_cell_angle_beta 99.99
_cell_angle_gamma 90.00
loop_
_space_group_symop_operation_xyz
'x,y,z'
'-x,-y,-z'
'-x,y,-z'
'x,-y,z'
'x+1/2,y+1/2,z'
'-x+1/2,-y+1/2,-z'
'-x+1/2,y+1/2,-z'
'x+1/2,-y+1/2,z'
loop_
_atom_site_label
_atom_site_type_symbol
_atom_site_fract_x
_atom_site_fract_y
_atom_site_fract_z
Pm1 Pm 0.0000 0.0000 0.0000
Dy1 Dy 0.0000 0.3334 0.0000
Y1 Y 0.2494 0.0000 0.7481
Y2 Y 0.2486 0.3331 0.7481
Er1 Er 0.0000 0.1669 0.5000
Er2 Er 0.0000 0.5000 0.5000
```

The value obtained for the density of states at the Fermi level is 1.441 states/eV/atom. The calculation puts the calculated formation energy at 26 kJ/mol of formula units. As for the crystal system: monoclinic.

---

HoCu2Ir | GGA-PBE | optimized geometry

Geometry as CIF:
```
data_HoCu2Ir
_space_group_name_H-M_alt 'F m -3 m'
_space_group_IT_number 225
_space_group_name_Hall '-F 4 2 3'
_cell_length_a 6.3477
_cell_length_b 6.3477
_cell_length_c 6.3477
_cell_angle_alpha 90.00
_cell_angle_beta 90.00
_cell_angle_gamma 90.00
loop_
_atom_site_label
_atom_site_type_symbol
_atom_site_fract_x
_atom_site_fract_y
_atom_site_fract_z
Ho1 Ho 0.0000 0.0000 0.0000
Cu1 Cu 0.2500 0.2500 0.2500
Ir1 Ir 0.0000 0.0000 0.5000
```

The value obtained for the density of states at the Fermi level is 0.508 states/eV/atom. The calculation puts the calculated formation energy at -96 kJ/mol of formula units. As for the crystal system: cubic.

---

VInRe2Se | GGA-PBE | optimized geometry

Geometry as CIF:
```
data_VInRe2Se
_space_group_name_H-M_alt 'P 4/m m m'
_space_group_IT_number 123
_space_group_name_Hall '-P 4 2'
_cell_length_a 4.5552
_cell_length_b 4.5552
_cell_length_c 5.0160
_cell_angle_alpha 90.00
_cell_angle_beta 90.00
_cell_angle_gamma 90.00
loop_
_atom_site_label
_atom_site_type_symbol
_atom_site_fract_x
_atom_site_fract_y
_atom_site_fract_z
V1 V 0.0000 0.0000 0.0000
In1 In 0.0000 0.0000 0.5000
Re1 Re 0.0000 0.5000 0.0000
Se1 Se 0.5000 0.5000 0.5000
```

The value obtained for the density of states at the Fermi level is 1.327 states/eV/atom. The calculation puts the electronic total energy at -32.37 eV per cell. As for the crystal system: tetragonal.

---

AgW3Br | GGA-PBE | optimized geometry

Geometry as CIF:
```
data_AgW3Br
_space_group_name_H-M_alt 'P m -3 m'
_space_group_IT_number 221
_space_group_name_Hall '-P 4 2 3'
_cell_length_a 4.8809
_cell_length_b 4.8809
_cell_length_c 4.8809
_cell_angle_alpha 90.00
_cell_angle_beta 90.00
_cell_angle_gamma 90.00
loop_
_atom_site_label
_atom_site_type_symbol
_atom_site_fract_x
_atom_site_fract_y
_atom_site_fract_z
Ag1 Ag 0.0000 0.0000 0.0000
W1 W 0.0000 0.0000 0.5000
Br1 Br 0.5000 0.5000 0.5000
```

The value obtained for the density of states at the Fermi level is 2.301 states/eV/atom. The calculation puts the electronic total energy at -27.59 eV per cell. As for the crystal system: cubic.